[1]
An optimized crystal structure of DyPu2Hg4, computed with PBE.

Computed properties:
Volume ... 194.0 Å³/cell
E_form ... -0.143 eV/atom
Space-group type ... I4/mmm (139)
Total moment ... 11.68 μB/cell

abc: 5.0608 5.0608 8.3776
angles: 107.58 107.58 90.00
With the nearest neighbours (Å) after each atom.
Fractional positions:
Hg 0.1128 0.6128 0.2255  2 Dy 3.05, 4 Pu 3.23-3.32, 1 Hg 3.42
Hg 0.3872 0.8872 0.7745  2 Dy 3.05, 4 Pu 3.23-3.32, 1 Hg 3.42
Pu 0.2547 0.2547 0.5094  8 Hg 3.23-3.32, 4 Pu 3.58
Hg 0.8872 0.3872 0.7745  2 Dy 3.05, 4 Pu 3.23-3.32, 1 Hg 3.42
Hg 0.6128 0.1128 0.2255  2 Dy 3.05, 4 Pu 3.23-3.32, 1 Hg 3.42
Pu 0.7453 0.7453 0.4906  8 Hg 3.23-3.32, 4 Pu 3.58
Dy 0.0000 0.0000 0.0000  8 Hg 3.05


[2]
An optimized crystal structure of CrP2Se, computed with PBE.

Computed properties:
Raw formation energy ... 0.35 eV per atom
Volume ... 80.9 Å³/cell
Space-group type ... P4/mmm (123)
Total moment ... 3.34 μB/cell

abc: 6.8482 3.4377 3.4377
angles: 90.00 90.00 90.00
With the nearest neighbours (Å) after each atom.
Fractional positions:
P 0.0000 0.5000 0.5000  4 P 2.43
Se 0.5000 0.5000 0.0000  4 Cr 2.43
P 0.0000 0.0000 0.0000  4 P 2.43
Cr 0.5000 0.0000 0.5000  4 Se 2.43


[3]
An optimized crystal structure of Li2Sb2Au, computed with PBE.

Computed properties:
Raw formation energy ... -0.34 eV per atom
Volume ... 231.4 Å³/cell
Space-group type ... P4/mbm (127)
Total moment ... 0.00 μB/cell
Distance to the lowest polymorph of the same formula ... 0.030 eV per atom

abc: 7.2527 7.2527 4.3994
angles: 90.00 90.00 90.00
With the nearest neighbours (Å) after each atom.
Fractional positions:
Sb 0.8564 0.6436 0.0000  2 Au 2.79, 1 Sb 2.95, 6 Li 3.00-3.10
Sb 0.1436 0.3564 0.0000  2 Au 2.79, 1 Sb 2.95, 6 Li 3.00-3.10
Au 0.0000 0.0000 0.0000  4 Sb 2.79
Sb 0.3564 0.8564 0.0000  2 Au 2.79, 1 Sb 2.95, 6 Li 3.00-3.10
Li 0.3420 0.1580 0.5000  6 Sb 3.00-3.10, 1 Li 3.24
Au 0.5000 0.5000 0.0000  4 Sb 2.79
Sb 0.6436 0.1436 0.0000  2 Au 2.79, 1 Sb 2.95, 6 Li 3.00-3.10
Li 0.8420 0.3420 0.5000  6 Sb 3.00-3.10, 1 Li 3.24
Li 0.1580 0.6580 0.5000  6 Sb 3.00-3.10, 1 Li 3.24
Li 0.6580 0.8420 0.5000  6 Sb 3.00-3.10, 1 Li 3.24